(1)
5
Lattice="-0.846 3.551 2.690 -2.901 -2.516 2.410 3.890 -1.464 3.155" Properties=species:S:1:pos:R:3 comment="TaTiV2Cd, relaxed, DFT PBE-GGA" dos_ef_per_ev_cell=7.7 formation_enthalpy_0k_ev_per_atom=1.41 dft_energy_ev_per_atom=-6.371 pbc="T T T"
V -1.451 -1.258 1.205
V -0.423 1.775 1.345
Cd 1.945 -0.732 1.578
Ti 0.071 -0.215 4.127
Ta 0.000 0.000 0.000



(2)
5
Lattice="-1.273 0.211 4.672 4.660 -0.591 1.297 0.622 4.807 -0.047" Properties=species:S:1:pos:R:3 comment="TaTiCdW2, relaxed, DFT PBE-GGA" dos_ef_per_ev_cell=7.6 formation_enthalpy_0k_ev_per_atom=2.61 dft_energy_ev_per_atom=-6.707 pbc="T T T"
Cd 0.000 0.000 0.000
Ti 2.005 2.214 2.961
W 0.311 2.403 -0.024
W -0.637 0.105 2.336
Ta 2.330 -0.295 0.648



(3)
4
Lattice="-0.531 4.278 1.303 -2.217 -1.320 3.430 3.640 -0.237 2.261" Properties=species:S:1:pos:R:3 comment="TaTlCd2, relaxed, DFT PBE-GGA" dos_ef_per_ev_cell=1.8 formation_enthalpy_0k_ev_per_atom=0.43 dft_energy_ev_per_atom=-3.585 e_above_lowest_polymorph_mev_per_atom=153.0 pbc="T T T"
Tl 1.555 2.021 1.782
Cd 0.000 0.000 0.000
Cd 0.712 -0.778 2.846
Ta -1.374 1.479 2.367



(4)
8
Lattice="-7.077 -3.641 0.228 3.266 -6.101 3.937 -2.502 -3.552 4.623" Properties=species:S:1:pos:R:3 comment="TaTlCd2, relaxed, DFT PBE-GGA" dos_ef_per_ev_cell=1.3 formation_enthalpy_0k_ev_per_atom=0.73 dft_energy_ev_per_atom=-3.286 e_above_lowest_polymorph_mev_per_atom=452.0 pbc="T T T"
Tl 0.000 0.000 0.000
Tl -5.742 -6.032 3.467
Cd -4.607 -3.909 1.789
Cd 0.498 -5.174 3.646
Cd -3.290 -6.346 5.048
Cd -5.226 -11.160 7.093
Ta -1.905 -4.871 2.083
Ta -0.571 -7.262 5.321



(5)
4
Lattice="3.012 0.029 0.000 -0.055 3.011 0.000 0.000 0.000 10.019" Properties=species:S:1:pos:R:3 comment="TaTlCd2, relaxed, DFT PBE-GGA" dos_ef_per_ev_cell=2.6 formation_enthalpy_0k_ev_per_atom=0.27 dft_energy_ev_per_atom=-3.738 e_above_lowest_polymorph_mev_per_atom=0.0 pbc="T T T"
Tl 1.478 1.520 7.514
Cd 0.000 0.000 0.352
Cd 0.000 0.000 4.658
Ta 1.478 1.520 2.505



(6)
4
Lattice="5.007 0.000 0.000 0.000 3.047 -0.011 0.000 0.020 5.690" Properties=species:S:1:pos:R:3 comment="TaTlCd2, relaxed, DFT PBE-GGA" dos_ef_per_ev_cell=3.1 formation_enthalpy_0k_ev_per_atom=0.44 dft_energy_ev_per_atom=-3.568 e_above_lowest_polymorph_mev_per_atom=169.9 pbc="T T T"
Tl 2.504 1.920 4.308
Cd 0.000 0.400 5.596
Cd 2.504 0.387 1.648
Ta 0.000 1.913 2.657



(7)
6
Lattice="0.000 4.080 4.080 4.080 0.000 4.080 4.080 4.080 0.000" Properties=species:S:1:pos:R:3 comment="TaTlCd4, relaxed, DFT PBE-GGA" dos_ef_per_ev_cell=4.4 formation_enthalpy_0k_ev_per_atom=0.56 dft_energy_ev_per_atom=-2.417 pbc="T T T"
Ta 6.121 6.121 6.121
Tl 0.000 0.000 0.000
Cd 3.066 5.095 5.095
Cd 5.095 5.095 3.066
Cd 5.095 3.066 5.095
Cd 3.066 3.066 3.066



(8)
4
Lattice="-6.488 -6.860 4.490 -3.771 -8.213 5.257 -4.944 -5.930 7.049" Properties=species:S:1:pos:R:3 comment="TaTlCd2, relaxed, DFT PBE-GGA" dos_ef_per_ev_cell=4.6 formation_enthalpy_0k_ev_per_atom=0.36 dft_energy_ev_per_atom=-3.652 e_above_lowest_polymorph_mev_per_atom=85.6 pbc="T T T"
Tl -3.753 -5.184 4.146
Cd -0.028 -0.038 0.030
Cd -11.450 -15.818 12.650
Ta -7.575 -10.464 8.368



(9)
4
Lattice="-0.059 2.527 4.304 -4.221 0.327 2.644 -0.430 -2.450 4.327" Properties=species:S:1:pos:R:3 comment="TaTlCd2, relaxed, DFT PBE-GGA" dos_ef_per_ev_cell=3.2 formation_enthalpy_0k_ev_per_atom=0.71 dft_energy_ev_per_atom=-3.300 e_above_lowest_polymorph_mev_per_atom=438.2 pbc="T T T"
Tl -3.533 0.303 8.456
Cd 0.000 0.000 0.000
Cd -1.178 0.101 2.819
Ta -2.355 0.202 5.637



(10)
4
Lattice="10.435 -0.034 -0.020 9.969 3.084 -0.020 9.969 1.490 2.700" Properties=species:S:1:pos:R:3 comment="TaTlCd2, relaxed, DFT PBE-GGA" dos_ef_per_ev_cell=4.4 formation_enthalpy_0k_ev_per_atom=0.34 dft_energy_ev_per_atom=-3.673 e_above_lowest_polymorph_mev_per_atom=65.3 pbc="T T T"
Tl 7.593 1.135 0.665
Cd 0.143 0.021 0.013
Cd 15.044 2.249 1.318
Ta 22.780 3.405 1.995



(11)
5
Lattice="5.415 0.000 0.000 0.000 5.415 0.000 0.000 0.000 5.415" Properties=species:S:1:pos:R:3 comment="TaTlCd3, relaxed, DFT PBE-GGA" dos_ef_per_ev_cell=7.7 formation_enthalpy_0k_ev_per_atom=1.47 dft_energy_ev_per_atom=-1.924 e_above_lowest_polymorph_mev_per_atom=527.1 pbc="T T T"
Tl 0.000 0.000 0.000
Cd 0.000 2.707 0.000
Cd 0.000 0.000 2.707
Cd 2.707 0.000 0.000
Ta 2.707 2.707 2.707



(12)
4
Lattice="3.072 0.000 0.000 0.000 5.169 0.000 0.000 0.000 5.449" Properties=species:S:1:pos:R:3 comment="TaTlCd2, relaxed, DFT PBE-GGA" dos_ef_per_ev_cell=3.2 formation_enthalpy_0k_ev_per_atom=0.46 dft_energy_ev_per_atom=-3.549 e_above_lowest_polymorph_mev_per_atom=188.8 pbc="T T T"
Tl 0.000 2.585 2.724
Cd 0.000 0.000 0.000
Cd 1.536 2.585 0.000
Ta 1.536 0.000 2.724



(13)
4
Lattice="-5.116 -2.330 -0.037 -1.255 -3.204 4.445 2.085 5.160 -0.789" Properties=species:S:1:pos:R:3 comment="TaTlCd2, relaxed, DFT PBE-GGA" dos_ef_per_ev_cell=4.1 formation_enthalpy_0k_ev_per_atom=0.56 dft_energy_ev_per_atom=-3.452 e_above_lowest_polymorph_mev_per_atom=285.5 pbc="T T T"
Tl -3.108 0.032 0.688
Cd 0.000 0.000 0.000
Cd -1.178 -0.405 2.930
Ta -3.185 -2.767 2.204



(14)
4
Lattice="4.521 0.000 0.000 0.000 3.090 0.425 0.000 2.096 6.514" Properties=species:S:1:pos:R:3 comment="TaTlCd2, relaxed, DFT PBE-GGA" dos_ef_per_ev_cell=2.5 formation_enthalpy_0k_ev_per_atom=0.44 dft_energy_ev_per_atom=-3.571 e_above_lowest_polymorph_mev_per_atom=166.8 pbc="T T T"
Tl 2.261 3.889 5.204
Cd 0.000 3.069 0.563
Cd 0.000 2.613 3.332
Ta 2.261 1.296 1.735